Below is an optimized crystal structure of Nd7Ho3Er2, with properties calculated at the GGA-PBE level.

Unit cell a=6.4618 b=3.5620 c=17.5790 alpha=90.00 beta=95.88 gamma=90.00
With the nearest neighbours (Å) after each atom.
Atoms (fractional coordinates):
1 Nd 0.0000 0.0000 0.0000  8 Nd 3.56-3.68, 4 Ho 3.69
2 Nd 0.2245 0.5000 0.1723  1 Er 3.48, 8 Nd 3.56-3.69, 3 Ho 3.64-3.67
3 Nd 0.2576 0.5000 0.4936  2 Nd 3.12-3.36, 2 Er 3.36-3.47
4 Nd 0.2761 0.0000 0.8322  2 Er 3.53, 7 Nd 3.56-3.69, 3 Ho 3.62-3.65
5 Nd 0.7239 0.0000 0.1678  2 Er 3.53, 7 Nd 3.56-3.69, 3 Ho 3.62-3.65
6 Nd 0.7424 0.5000 0.5064  2 Nd 3.12-3.36, 2 Er 3.36-3.47
7 Nd 0.7755 0.5000 0.8277  1 Er 3.48, 8 Nd 3.56-3.69, 3 Ho 3.64-3.67
8 Ho 0.4559 0.0000 0.3405  2 Ho 3.56, 7 Nd 3.57-3.74, 4 Er 3.62-3.77
9 Ho 0.5000 0.5000 0.0000  2 Ho 3.56, 10 Nd 3.62-3.69
10 Ho 0.5441 0.0000 0.6595  2 Ho 3.56, 7 Nd 3.57-3.74, 4 Er 3.62-3.77
11 Er 0.0596 0.5000 0.6700  5 Nd 3.36-3.53, 2 Er 3.56, 2 Ho 3.62
12 Er 0.9404 0.5000 0.3300  5 Nd 3.36-3.53, 2 Er 3.56, 2 Ho 3.62

The density of states at the Fermi level is 1.452 states/eV/atom. The energy above the most stable polymorph in this dataset comes out at 0 meV/atom. Its uncorrected energy is -4.61 eV/atom. The value obtained for the formation energy is 0.07 eV/atom. Its space-group type is P2/m (10).

Below is an optimized crystal structure of Pr2As4Pd3, with properties calculated at the GGA-PBE level.

Unit cell a=8.3176 b=8.3176 c=7.7777 alpha=90.00 beta=90.00 gamma=138.30
With the nearest neighbours (Å) after each atom.
Atoms (fractional coordinates):
1 Pr 0.1159 0.8841 0.9196  8 As 3.14-3.24, 4 Pd 3.29-3.35
2 Pr 0.3841 0.6159 0.4196  8 As 3.14-3.24, 4 Pd 3.29-3.35
3 Pr 0.6159 0.3841 0.5804  8 As 3.14-3.24, 4 Pd 3.29-3.35
4 Pr 0.8841 0.1159 0.0804  8 As 3.14-3.24, 4 Pd 3.29-3.35
5 As 0.1870 0.8130 0.5405  5 Pd 2.67-2.92
6 As 0.2009 0.2991 0.7500  3 Pd 2.56-2.59
7 As 0.2991 0.2009 0.2500  3 Pd 2.56-2.59
8 As 0.3130 0.6870 0.0405  5 Pd 2.67-2.92
9 As 0.6870 0.3130 0.9595  5 Pd 2.67-2.92
10 As 0.7009 0.7991 0.7500  3 Pd 2.56-2.59
11 As 0.7991 0.7009 0.2500  3 Pd 2.56-2.59
12 As 0.8130 0.1870 0.4595  5 Pd 2.67-2.92
13 Pd 0.0000 0.0000 0.5000  4 As 2.56
14 Pd 0.0345 0.4655 0.7500  5 As 2.59-2.74
15 Pd 0.4655 0.0345 0.2500  5 As 2.59-2.74
16 Pd 0.5000 0.5000 0.0000  4 As 2.56
17 Pd 0.5345 0.9655 0.7500  5 As 2.59-2.74
18 Pd 0.9655 0.5345 0.2500  5 As 2.59-2.74

The density of states at the Fermi level is 0.641 states/eV/atom. Its uncorrected energy is -5.71 eV/atom. The value obtained for the formation energy is -0.85 eV/atom. Its space-group type is Cmce (64).

Below is an optimized crystal structure of Ba4Tl, with properties calculated at the GGA-PBE level.

Unit cell a=6.8470 b=6.8470 c=6.8470 alpha=90.00 beta=90.00 gamma=90.00
With the nearest neighbours (Å) after each atom.
Atoms (fractional coordinates):
1 Ba 0.0000 0.0000 0.0000  12 Ba 4.84
2 Ba 0.0000 0.5000 0.5000  2 Tl 3.42
3 Ba 0.5000 0.0000 0.5000  2 Tl 3.42
4 Ba 0.5000 0.5000 0.0000  2 Tl 3.42
5 Tl 0.5000 0.5000 0.5000  6 Ba 3.42

The density of states at the Fermi level is 1.861 states/eV/atom. The energy above the most stable polymorph in this dataset comes out at 79 meV/atom. Its uncorrected energy is -2.05 eV/atom. The value obtained for the formation energy is -0.04 eV/atom. Its space-group type is Pm-3m (221).

Below is an optimized crystal structure of RbGeTe3Au, with properties calculated at the GGA-PBE level.

Unit cell a=7.4126 b=7.4126 c=9.0658 alpha=101.22 beta=101.22 gamma=81.75
With the nearest neighbours (Å) after each atom.
Atoms (fractional coordinates):
1 Rb 0.1748 0.1748 0.2962  5 Te 3.76-3.83, 2 Au 4.00
2 Rb 0.8252 0.8252 0.7038  5 Te 3.76-3.83, 2 Au 4.00
3 Ge 0.4835 0.4835 0.8569  1 Ge 2.53, 3 Te 2.59-2.72
4 Ge 0.5165 0.5165 0.1431  1 Ge 2.53, 3 Te 2.59-2.72
5 Te 0.1721 0.6490 0.2045  1 Au 2.61, 1 Ge 2.72
6 Te 0.2480 0.2480 0.7301  1 Ge 2.59
7 Te 0.3510 0.8279 0.7955  1 Au 2.61, 1 Ge 2.72
8 Te 0.6490 0.1721 0.2045  1 Au 2.61, 1 Ge 2.72
9 Te 0.7520 0.7520 0.2699  1 Ge 2.59
10 Te 0.8279 0.3510 0.7955  1 Au 2.61, 1 Ge 2.72
11 Au 0.2709 0.7291 0.5000  2 Te 2.61
12 Au 0.7291 0.2709 0.5000  2 Te 2.61

The density of states at the Fermi level is 0.439 states/eV/atom. Its uncorrected energy is -3.36 eV/atom. Its space-group type is C2/m (12).

Below is an optimized crystal structure of Li2FeHg, with properties calculated at the GGA-PBE level.

Unit cell a=2.7865 b=4.1199 c=5.6494 alpha=90.00 beta=90.00 gamma=90.00
With the nearest neighbours (Å) after each atom.
Atoms (fractional coordinates):
1 Li 0.0000 0.0000 0.0000  6 Li 2.79-2.87, 2 Fe 2.82-2.83, 4 Hg 2.89
2 Li 0.5000 0.5000 0.2550  2 Hg 2.74-2.91, 6 Li 2.79-2.87, 4 Fe 2.85
3 Fe 0.0000 0.0000 0.5008  2 Fe 2.79, 6 Li 2.82-2.85, 4 Hg 2.83
4 Hg 0.5000 0.5000 0.7392  6 Li 2.74-2.91, 2 Hg 2.79, 4 Fe 2.83

The density of states at the Fermi level is 0.637 states/eV/atom. Its uncorrected energy is -2.99 eV/atom. The value obtained for the formation energy is 0.16 eV/atom. Its space-group type is Pmm2 (25).

Below is an optimized crystal structure of ZnSb2TeCl, with properties calculated at the GGA-PBE level.

Unit cell a=5.2914 b=5.2914 c=5.6688 alpha=90.00 beta=90.00 gamma=90.00
With the nearest neighbours (Å) after each atom.
Atoms (fractional coordinates):
1 Zn 0.0000 0.0000 0.0000  4 Te 3.74, 8 Sb 3.88
2 Sb 0.0000 0.5000 0.5000  2 Cl 2.65
3 Sb 0.5000 0.0000 0.5000  2 Cl 2.65
4 Te 0.5000 0.5000 0.0000  2 Cl 2.83
5 Cl 0.5000 0.5000 0.5000  4 Sb 2.65, 2 Te 2.83

The density of states at the Fermi level is 1.049 states/eV/atom. The energy above the most stable polymorph in this dataset comes out at 431 meV/atom. Its uncorrected energy is -2.07 eV/atom. Its space-group type is P4/mmm (123).

Below is an optimized crystal structure of HoHfCoAu, with properties calculated at the GGA-PBE level.

Unit cell a=6.7648 b=6.7648 c=6.7648 alpha=90.00 beta=90.00 gamma=90.00
With the nearest neighbours (Å) after each atom.
Atoms (fractional coordinates):
1 Ho 0.0000 0.0000 0.0000  4 Co 2.93, 4 Au 2.93
2 Ho 0.0000 0.5000 0.5000  4 Co 2.93, 4 Au 2.93
3 Ho 0.5000 0.0000 0.5000  4 Co 2.93, 4 Au 2.93
4 Ho 0.5000 0.5000 0.0000  4 Co 2.93, 4 Au 2.93
5 Hf 0.0000 0.0000 0.5000  4 Co 2.93, 4 Au 2.93
6 Hf 0.0000 0.5000 0.0000  4 Co 2.93, 4 Au 2.93
7 Hf 0.5000 0.0000 0.0000  4 Co 2.93, 4 Au 2.93
8 Hf 0.5000 0.5000 0.5000  4 Co 2.93, 4 Au 2.93
9 Co 0.2500 0.2500 0.7500  4 Hf 2.93, 4 Ho 2.93
10 Co 0.2500 0.7500 0.2500  4 Hf 2.93, 4 Ho 2.93
11 Co 0.7500 0.2500 0.2500  4 Hf 2.93, 4 Ho 2.93
12 Co 0.7500 0.7500 0.7500  4 Hf 2.93, 4 Ho 2.93
13 Au 0.2500 0.2500 0.2500  4 Hf 2.93, 4 Ho 2.93
14 Au 0.2500 0.7500 0.7500  4 Hf 2.93, 4 Ho 2.93
15 Au 0.7500 0.2500 0.7500  4 Hf 2.93, 4 Ho 2.93
16 Au 0.7500 0.7500 0.2500  4 Hf 2.93, 4 Ho 2.93

The density of states at the Fermi level is 0.777 states/eV/atom. Its uncorrected energy is -6.56 eV/atom. The value obtained for the formation energy is -0.34 eV/atom. Its space-group type is F-43m (216).

Below is an optimized crystal structure of YPBr2, with properties calculated at the GGA-PBE level.

Unit cell a=3.6704 b=3.6704 c=30.4707 alpha=90.00 beta=90.00 gamma=120.00
With the nearest neighbours (Å) after each atom.
Atoms (fractional coordinates):
1 Y 0.0000 0.0000 0.0000  6 Br 2.85
2 Y 0.3333 0.6667 0.6667  6 Br 2.85
3 Y 0.6667 0.3333 0.3333  6 Br 2.85
4 P 0.0000 0.0000 0.5000  6 P 3.67, 6 Br 3.82
5 P 0.3333 0.6667 0.1667  6 P 3.67, 6 Br 3.82
6 P 0.6667 0.3333 0.8333  6 P 3.67, 6 Br 3.82
7 Br 0.0000 0.0000 0.2710  3 Y 2.85
8 Br 0.0000 0.0000 0.7290  3 Y 2.85
9 Br 0.3333 0.6667 0.3957  3 Y 2.85
10 Br 0.3333 0.6667 0.9376  3 Y 2.85
11 Br 0.6667 0.3333 0.0624  3 Y 2.85
12 Br 0.6667 0.3333 0.6043  3 Y 2.85

The density of states at the Fermi level is 0.667 states/eV/atom. The energy above the most stable polymorph in this dataset comes out at 695 meV/atom. Its uncorrected energy is -4.22 eV/atom. Its space-group type is R-3m (166).

Below is an optimized crystal structure of LaNi2Pd2, with properties calculated at the GGA-PBE level.

Unit cell a=4.0675 b=4.0675 c=10.6868 alpha=90.00 beta=90.00 gamma=90.00
With the nearest neighbours (Å) after each atom.
Atoms (fractional coordinates):
1 La 0.0000 0.0000 0.0000  8 Ni 3.09, 8 Pd 3.36
2 La 0.5000 0.5000 0.5000  8 Ni 3.09, 8 Pd 3.36
3 Ni 0.0000 0.0000 0.3950  1 Ni 2.24
4 Ni 0.0000 0.0000 0.6050  1 Ni 2.24
5 Ni 0.5000 0.5000 0.1050  1 Ni 2.24
6 Ni 0.5000 0.5000 0.8950  1 Ni 2.24
7 Pd 0.0000 0.5000 0.2500  4 Ni 2.56
8 Pd 0.0000 0.5000 0.7500  4 Ni 2.56
9 Pd 0.5000 0.0000 0.2500  4 Ni 2.56
10 Pd 0.5000 0.0000 0.7500  4 Ni 2.56

The density of states at the Fermi level is 1.437 states/eV/atom. The energy above the most stable polymorph in this dataset comes out at 0 meV/atom. Its uncorrected energy is -5.72 eV/atom. The value obtained for the formation energy is -0.35 eV/atom. Its space-group type is I4/mmm (139).

Below is an optimized crystal structure of La3Pm2Si4, with properties calculated at the GGA-PBE level.

Unit cell a=7.9185 b=7.9769 c=7.9602 alpha=90.00 beta=103.80 gamma=90.00
With the nearest neighbours (Å) after each atom.
Atoms (fractional coordinates):
1 La 0.0000 0.0000 0.0000  6 Si 3.17-3.24
2 La 0.0000 0.5000 0.5000  6 Si 3.17-3.24
3 La 0.2635 0.1830 0.7436  6 Si 2.98-3.17
4 La 0.2635 0.3170 0.2436  6 Si 2.98-3.17
5 La 0.7365 0.6830 0.7564  6 Si 2.98-3.17
6 La 0.7365 0.8170 0.2564  6 Si 2.98-3.17
7 Pm 0.2868 0.6913 0.8899  6 Si 3.14-3.37
8 Pm 0.2868 0.8087 0.3899  6 Si 3.14-3.37
9 Pm 0.7132 0.1913 0.6101  6 Si 3.14-3.37
10 Pm 0.7132 0.3087 0.1101  6 Si 3.14-3.37
11 Si 0.0076 0.6137 0.1117  1 Si 2.52
12 Si 0.0076 0.8863 0.6117  1 Si 2.52
13 Si 0.4112 0.0189 0.1029  1 Si 2.42
14 Si 0.4112 0.4811 0.6029  1 Si 2.42
15 Si 0.5888 0.5189 0.3971  1 Si 2.42
16 Si 0.5888 0.9811 0.8971  1 Si 2.42
17 Si 0.9924 0.1137 0.3883  1 Si 2.52
18 Si 0.9924 0.3863 0.8883  1 Si 2.52

The density of states at the Fermi level is 1.065 states/eV/atom. Its uncorrected energy is -5.76 eV/atom. Its space-group type is P2_1/c (14).

Below is an optimized crystal structure of AcMgAlZn2, with properties calculated at the GGA-PBE level.

Unit cell a=4.4899 b=4.4899 c=11.2724 alpha=90.00 beta=90.00 gamma=90.00
With the nearest neighbours (Å) after each atom.
Atoms (fractional coordinates):
1 Ac 0.0000 0.0000 0.0000  8 Zn 3.42, 4 Mg 3.60, 4 Al 3.60
2 Ac 0.5000 0.5000 0.5000  8 Zn 3.42, 4 Mg 3.60, 4 Al 3.60
3 Mg 0.0000 0.5000 0.7500  4 Zn 2.72
4 Mg 0.5000 0.0000 0.2500  4 Zn 2.72
5 Al 0.0000 0.5000 0.2500  4 Zn 2.72
6 Al 0.5000 0.0000 0.7500  4 Zn 2.72
7 Zn 0.0000 0.0000 0.3861  1 Zn 2.57, 2 Mg 2.72, 2 Al 2.72
8 Zn 0.0000 0.0000 0.6139  1 Zn 2.57, 2 Mg 2.72, 2 Al 2.72
9 Zn 0.5000 0.5000 0.1139  1 Zn 2.57, 2 Mg 2.72, 2 Al 2.72
10 Zn 0.5000 0.5000 0.8861  1 Zn 2.57, 2 Mg 2.72, 2 Al 2.72

The density of states at the Fermi level is 0.724 states/eV/atom. Its uncorrected energy is -2.70 eV/atom. The value obtained for the formation energy is -0.30 eV/atom. Its space-group type is I-4m2 (119).

Below is an optimized crystal structure of Rb3TmCu2Br9, with properties calculated at the GGA-PBE level.

Unit cell a=7.6081 b=7.6081 c=9.4099 alpha=90.00 beta=90.00 gamma=120.00
With the nearest neighbours (Å) after each atom.
Atoms (fractional coordinates):
1 Rb 0.0000 0.0000 0.0000  12 Br 3.80-3.83
2 Rb 0.3333 0.6667 0.6773  12 Br 3.75-3.91
3 Rb 0.6667 0.3333 0.3227  12 Br 3.75-3.91
4 Tm 0.0000 0.0000 0.5000  6 Br 2.75
5 Cu 0.3333 0.6667 0.1375  6 Br 2.55-2.81
6 Cu 0.6667 0.3333 0.8625  6 Br 2.55-2.81
7 Br 0.0000 0.5000 0.0000  2 Cu 2.55
8 Br 0.1703 0.3407 0.3303  1 Tm 2.75, 1 Cu 2.81
9 Br 0.1703 0.8297 0.3303  1 Tm 2.75, 1 Cu 2.81
10 Br 0.3407 0.1703 0.6697  1 Tm 2.75, 1 Cu 2.81
11 Br 0.5000 0.0000 0.0000  2 Cu 2.55
12 Br 0.5000 0.5000 0.0000  2 Cu 2.55
13 Br 0.6593 0.8297 0.3303  1 Tm 2.75, 1 Cu 2.81
14 Br 0.8297 0.1703 0.6697  1 Tm 2.75, 1 Cu 2.81
15 Br 0.8297 0.6593 0.6697  1 Tm 2.75, 1 Cu 2.81

The density of states at the Fermi level is 0.275 states/eV/atom. Its uncorrected energy is -3.32 eV/atom. Its space-group type is P-3m1 (164).